Entry 1:
The following is a DFT calculation (PBE) of crystalline TiAl4Ir at its relaxed geometry.

Geometry as CIF:
```
data_TiAl4Ir
_chemical_formula_sum 'Ti2 Al8 Ir2'
_space_group_name_H-M_alt 'P 1'
_space_group_IT_number 1
_cell_length_a 6.302
_cell_length_b 6.302
_cell_length_c 6.829
_cell_angle_alpha 62.52
_cell_angle_beta 62.52
_cell_angle_gamma 89.99
loop_
_space_group_symop_operation_xyz
'x,y,z'
loop_
_atom_site_label
_atom_site_fract_x
_atom_site_fract_y
_atom_site_fract_z
Al1 0.798 0.298 0.713
Al2 0.702 0.511 0.287
Al3 0.202 0.702 0.287
Al4 0.511 0.011 0.287
Al5 0.011 0.202 0.287
Al6 0.489 0.989 0.713
Al7 0.298 0.489 0.713
Al8 0.989 0.798 0.713
Ti1 0.500 0.500 0.000
Ti2 0.000 0.000 0.000
Ir1 0.250 0.250 0.500
Ir2 0.750 0.750 0.500
```

Final energy in eV/atom: -5.71
D(E_F) in states/eV/cell: 3.84
Formation energy in kJ per mole of atoms: -40
Space group: I4/mcm, No. 140

Entry 2:
The following is a DFT calculation (PBE) of crystalline Ti3AlIr2 at its relaxed geometry.

Geometry as CIF:
```
data_Ti3AlIr2
_chemical_formula_sum 'Ti6 Al2 Ir4'
_space_group_name_H-M_alt 'P 1'
_space_group_IT_number 1
_cell_length_a 6.119
_cell_length_b 6.089
_cell_length_c 7.415
_cell_angle_alpha 114.24
_cell_angle_beta 114.37
_cell_angle_gamma 90.00
loop_
_space_group_symop_operation_xyz
'x,y,z'
loop_
_atom_site_label
_atom_site_fract_x
_atom_site_fract_y
_atom_site_fract_z
Al1 0.000 0.500 0.000
Al2 0.000 0.000 0.000
Ti1 0.769 0.519 0.538
Ti2 0.231 0.981 0.462
Ti3 0.231 0.481 0.462
Ti4 0.769 0.019 0.538
Ti5 0.500 0.750 0.000
Ti6 0.500 0.250 0.000
Ir1 0.152 0.862 0.724
Ir2 0.571 0.362 0.724
Ir3 0.848 0.138 0.276
Ir4 0.429 0.638 0.276
```

Final energy in eV/atom: -7.97
D(E_F) in states/eV/cell: 11.30
Formation energy in kJ per mole of atoms: -43
Space group: Ibam, No. 72

Entry 3:
The following is a DFT calculation (PBE) of crystalline Ti3AlIr3 at its relaxed geometry.

Geometry as CIF:
```
data_Ti3AlIr3
_chemical_formula_sum 'Ti12 Al4 Ir12'
_space_group_name_H-M_alt 'P 1'
_space_group_IT_number 1
_cell_length_a 7.652
_cell_length_b 7.652
_cell_length_c 7.652
_cell_angle_alpha 90.00
_cell_angle_beta 90.00
_cell_angle_gamma 90.00
loop_
_space_group_symop_operation_xyz
'x,y,z'
loop_
_atom_site_label
_atom_site_fract_x
_atom_site_fract_y
_atom_site_fract_z
Ti1 0.224 0.224 0.224
Ti2 0.383 0.617 0.117
Ti3 0.724 0.276 0.776
Ti4 0.776 0.724 0.276
Ti5 0.276 0.776 0.724
Ti6 0.117 0.383 0.617
Ti7 0.883 0.883 0.883
Ti8 0.854 0.354 0.146
Ti9 0.646 0.646 0.646
Ti10 0.354 0.146 0.854
Ti11 0.146 0.854 0.354
Ti12 0.617 0.117 0.383
Ir1 0.398 0.473 0.798
Ir2 0.602 0.973 0.702
Ir3 0.798 0.398 0.473
Ir4 0.702 0.602 0.973
Ir5 0.298 0.102 0.527
Ir6 0.202 0.898 0.027
Ir7 0.527 0.298 0.102
Ir8 0.027 0.202 0.898
Ir9 0.102 0.527 0.298
Ir10 0.898 0.027 0.202
Ir11 0.973 0.702 0.602
Ir12 0.473 0.798 0.398
Al1 0.558 0.942 0.058
Al2 0.442 0.442 0.442
Al3 0.058 0.558 0.942
Al4 0.942 0.058 0.558
```

Final energy in eV/atom: -8.38
D(E_F) in states/eV/cell: 19.60
Formation energy in kJ per mole of atoms: -64
Space group: P2_13, No. 198

Entry 4:
The following is a DFT calculation (PBE) of crystalline Ti6Al2Ir at its relaxed geometry.

Geometry as CIF:
```
data_Ti6Al2Ir
_chemical_formula_sum 'Ti6 Al2 Ir1'
_space_group_name_H-M_alt 'P 1'
_space_group_IT_number 1
_cell_length_a 4.299
_cell_length_b 6.210
_cell_length_c 7.486
_cell_angle_alpha 114.51
_cell_angle_beta 106.64
_cell_angle_gamma 90.00
loop_
_space_group_symop_operation_xyz
'x,y,z'
loop_
_atom_site_label
_atom_site_fract_x
_atom_site_fract_y
_atom_site_fract_z
Ti1 0.162 0.919 0.324
Ti2 0.500 0.760 0.000
Ti3 0.500 0.240 0.000
Ti4 0.838 0.081 0.676
Ti5 0.162 0.405 0.324
Ti6 0.838 0.595 0.676
Al1 0.667 0.667 0.334
Al2 0.333 0.333 0.666
Ir1 0.000 0.000 0.000
```

Final energy in eV/atom: -7.05
D(E_F) in states/eV/cell: 11.42
Formation energy in kJ per mole of atoms: 3
Space group: Immm, No. 71

Entry 5:
The following is a DFT calculation (PBE) of crystalline TiAl5Ir4 at its relaxed geometry.

Geometry as CIF:
```
data_TiAl5Ir4
_chemical_formula_sum 'Ti1 Al5 Ir4'
_space_group_name_H-M_alt 'P 1'
_space_group_IT_number 1
_cell_length_a 2.954
_cell_length_b 2.954
_cell_length_c 16.383
_cell_angle_alpha 90.00
_cell_angle_beta 90.00
_cell_angle_gamma 90.00
loop_
_space_group_symop_operation_xyz
'x,y,z'
loop_
_atom_site_label
_atom_site_fract_x
_atom_site_fract_y
_atom_site_fract_z
Ir1 0.000 0.000 0.786
Ir2 0.000 0.000 0.595
Ir3 0.000 0.000 0.214
Ir4 0.000 0.000 0.405
Al1 0.500 0.500 0.500
Al2 0.500 0.500 0.308
Al3 0.500 0.500 0.118
Al4 0.500 0.500 0.692
Al5 0.500 0.500 0.882
Ti1 0.000 0.000 0.000
```

Final energy in eV/atom: -7.04
D(E_F) in states/eV/cell: 3.32
Formation energy in kJ per mole of atoms: -80
Space group: P4/mmm, No. 123

Entry 6:
The following is a DFT calculation (PBE) of crystalline TmTi2AlIr4 at its relaxed geometry.

Geometry as CIF:
```
data_TmTi2AlIr4
_chemical_formula_sum 'Tm1 Ti2 Al1 Ir4'
_space_group_name_H-M_alt 'P 1'
_space_group_IT_number 1
_cell_length_a 4.391
_cell_length_b 4.391
_cell_length_c 8.116
_cell_angle_alpha 74.30
_cell_angle_beta 74.30
_cell_angle_gamma 60.00
loop_
_space_group_symop_operation_xyz
'x,y,z'
loop_
_atom_site_label
_atom_site_fract_x
_atom_site_fract_y
_atom_site_fract_z
Ir1 0.129 0.129 0.612
Ir2 0.391 0.391 0.827
Ir3 0.871 0.871 0.388
Ir4 0.609 0.609 0.173
Ti1 0.755 0.755 0.734
Ti2 0.245 0.245 0.266
Tm1 0.000 0.000 0.000
Al1 0.500 0.500 0.500
```

Final energy in eV/atom: -8.26
D(E_F) in states/eV/cell: 7.48
Formation energy in kJ per mole of atoms: -80
Space group: R-3m, No. 166

Entry 7:
The following is a DFT calculation (PBE) of crystalline Tm2TiAl2Ir5 at its relaxed geometry.

Geometry as CIF:
```
data_Tm2TiAl2Ir5
_chemical_formula_sum 'Tm4 Ti2 Al4 Ir10'
_space_group_name_H-M_alt 'P 1'
_space_group_IT_number 1
_cell_length_a 3.468
_cell_length_b 9.806
_cell_length_c 9.806
_cell_angle_alpha 90.00
_cell_angle_beta 90.00
_cell_angle_gamma 90.00
loop_
_space_group_symop_operation_xyz
'x,y,z'
loop_
_atom_site_label
_atom_site_fract_x
_atom_site_fract_y
_atom_site_fract_z
Ti1 0.000 0.500 0.500
Ti2 0.000 0.000 0.000
Ir1 0.500 0.934 0.202
Ir2 0.500 0.566 0.702
Ir3 0.500 0.202 0.066
Ir4 0.500 0.500 0.000
Ir5 0.500 0.066 0.798
Ir6 0.500 0.434 0.298
Ir7 0.500 0.298 0.566
Ir8 0.500 0.000 0.500
Ir9 0.500 0.798 0.934
Ir10 0.500 0.702 0.434
Tm1 0.000 0.173 0.327
Tm2 0.000 0.827 0.673
Tm3 0.000 0.673 0.173
Tm4 0.000 0.327 0.827
Al1 0.000 0.375 0.125
Al2 0.000 0.875 0.375
Al3 0.000 0.125 0.625
Al4 0.000 0.625 0.875
```

Final energy in eV/atom: -7.73
D(E_F) in states/eV/cell: 7.58
Formation energy in kJ per mole of atoms: -83
Space group: P4/mbm, No. 127

Entry 8:
The following is a DFT calculation (PBE) of crystalline YTi2AlIr4 at its relaxed geometry.

Geometry as CIF:
```
data_YTi2AlIr4
_chemical_formula_sum 'Y1 Ti2 Al1 Ir4'
_space_group_name_H-M_alt 'P 1'
_space_group_IT_number 1
_cell_length_a 4.372
_cell_length_b 4.372
_cell_length_c 8.389
_cell_angle_alpha 74.90
_cell_angle_beta 74.90
_cell_angle_gamma 60.00
loop_
_space_group_symop_operation_xyz
'x,y,z'
loop_
_atom_site_label
_atom_site_fract_x
_atom_site_fract_y
_atom_site_fract_z
Al1 0.500 0.500 0.500
Ir1 0.869 0.869 0.392
Ir2 0.604 0.604 0.188
Ir3 0.396 0.396 0.812
Ir4 0.131 0.131 0.608
Ti1 0.242 0.242 0.274
Ti2 0.758 0.758 0.726
Y1 0.000 0.000 0.000
```

Final energy in eV/atom: -8.47
D(E_F) in states/eV/cell: 7.30
Formation energy in kJ per mole of atoms: -76
Space group: R-3m, No. 166